(1)
A relaxed structure of Pm4Pr3Bi4, computed with PBE.

## Properties
Formation enthalpy at 0 K = -0.566 eV per atom
Magnetization = 0.00 μB/cell
Crystal system = orthorhombic
Space-group type = Amm2

Cell: 11.8760 7.4551 7.4551 Å, 34.85 90.00 90.00°
Atoms (fractional coordinates):
Pm1 0.0000 0.0000 0.0000
Pm2 0.2423 0.4658 0.4658
Pm3 0.5000 0.0673 0.0673
Pm4 0.7577 0.4658 0.4658
Pr1 0.0000 0.6962 0.6962
Pr2 0.3547 0.7696 0.7696
Pr3 0.6453 0.7696 0.7696
Bi1 0.0000 0.3517 0.3517
Bi2 0.2208 0.1361 0.1361
Bi3 0.5000 0.3964 0.3964
Bi4 0.7792 0.1361 0.1361



(2)
A relaxed structure of Li2SiSe, computed with PBE.

## Properties
Magnetization = 0.00 μB/cell
Raw formation energy = -132 meV per atom
Energy relative to the lowest polymorph listed for this composition = 0.342 eV/atom
Crystal system = trigonal
Space-group type = R3m

Cell: 8.2919 8.2919 8.2919 Å, 23.65 23.65 23.65°
Atoms (fractional coordinates):
Li1 0.0000 0.0000 0.0000
Li2 0.2238 0.2238 0.2238
Si1 0.7485 0.7485 0.7485
Se1 0.4809 0.4809 0.4809



(3)
A relaxed structure of CsH, computed with PBE.

## Properties
Magnetization = 0.00 μB/cell
Final energy = -2.22 eV per atom
Crystal system = cubic
Space-group type = Pm-3n

Cell: 8.4638 8.4638 8.4638 Å, 90.00 90.00 90.00°
Atoms (fractional coordinates):
Cs1 0.0000 0.2500 0.5000
Cs2 0.0000 0.7500 0.5000
Cs3 0.2500 0.5000 0.0000
Cs4 0.5000 0.0000 0.2500
Cs5 0.5000 0.0000 0.7500
Cs6 0.7500 0.5000 0.0000
H1 0.0000 0.5000 0.2500
H2 0.0000 0.5000 0.7500
H3 0.2500 0.0000 0.5000
H4 0.5000 0.2500 0.0000
H5 0.5000 0.7500 0.0000
H6 0.7500 0.0000 0.5000



(4)
A relaxed structure of La2TbTh6, computed with PBE.

## Properties
Formation enthalpy at 0 K = 0.103 eV per atom
Magnetization = 0.00 μB/cell
Crystal system = hexagonal
Space-group type = P-6m2

Cell: 3.5595 3.5595 27.3226 Å, 90.00 90.00 120.00°
Atoms (fractional coordinates):
La1 0.0000 0.0000 0.1717
La2 0.0000 0.0000 0.8283
Tb1 0.3333 0.6667 0.5000
Th1 0.0000 0.0000 0.3920
Th2 0.0000 0.0000 0.6080
Th3 0.3333 0.6667 0.0601
Th4 0.3333 0.6667 0.2850
Th5 0.3333 0.6667 0.7150
Th6 0.3333 0.6667 0.9399